No. 1
A geometry-optimized CdAg6Hg structure, computed with PBE.

```
data_CdAg6Hg
_chemical_formula_sum 'Cd2 Ag12 Hg2'
_space_group_name_H-M_alt 'A m m 2'
_space_group_IT_number 38
_cell_length_a 4.2603
_cell_length_b 8.2311
_cell_length_c 8.5525
_cell_angle_alpha 90.00
_cell_angle_beta 90.00
_cell_angle_gamma 90.00
loop_
_space_group_symop_operation_xyz
'x,y,z'
'-x,-y,z'
'-x,y,z'
'x,-y,z'
'x,y+1/2,z+1/2'
'-x,-y+1/2,z+1/2'
'-x,y+1/2,z+1/2'
'x,-y+1/2,z+1/2'
loop_
_atom_site_label
_atom_site_type_symbol
_atom_site_fract_x
_atom_site_fract_y
_atom_site_fract_z
Cd1 Cd 0.0000 0.0000 0.0000
Ag1 Ag 0.0000 0.0000 0.5142
Ag2 Ag 0.0000 0.2476 0.7574
Ag3 Ag 0.5000 0.0000 0.7557
Ag4 Ag 0.5000 0.2502 0.0099
Hg1 Hg 0.5000 0.0000 0.2653
```

Computed properties:
V (Å³ per cell): 300
Offset from the most stable computed form (meV/atom): 22


No. 2
A geometry-optimized TcMo2Ir structure, computed with PBE.

```
data_TcMo2Ir
_chemical_formula_sum 'Tc3 Mo6 Ir3'
_space_group_name_H-M_alt 'R 3 m'
_space_group_IT_number 160
_space_group_name_Hall 'R 3 -2"'
_cell_length_a 2.7585
_cell_length_b 2.7585
_cell_length_c 27.8411
_cell_angle_alpha 90.00
_cell_angle_beta 90.00
_cell_angle_gamma 120.00
loop_
_atom_site_label
_atom_site_type_symbol
_atom_site_fract_x
_atom_site_fract_y
_atom_site_fract_z
Tc1 Tc 0.0000 0.0000 0.0000
Mo1 Mo 0.0000 0.0000 0.5058
Mo2 Mo 0.0000 0.0000 0.7500
Ir1 Ir 0.0000 0.0000 0.2525
```

Computed properties:
V (Å³ per cell): 183
Offset from the most stable computed form (meV/atom): 186


No. 3
A geometry-optimized CsRb2ReO4 structure, computed with PBE.

```
data_CsRb2ReO4
_chemical_formula_sum 'Cs2 Rb4 Re2 O8'
_space_group_name_H-M_alt 'I -4'
_space_group_IT_number 82
_cell_length_a 6.5940
_cell_length_b 6.5940
_cell_length_c 8.5865
_cell_angle_alpha 90.00
_cell_angle_beta 90.00
_cell_angle_gamma 90.00
loop_
_space_group_symop_operation_xyz
'x,y,z'
'y,-x,-z'
'-x,-y,z'
'-y,x,-z'
'x+1/2,y+1/2,z+1/2'
'y+1/2,-x+1/2,-z+1/2'
'-x+1/2,-y+1/2,z+1/2'
'-y+1/2,x+1/2,-z+1/2'
loop_
_atom_site_label
_atom_site_type_symbol
_atom_site_fract_x
_atom_site_fract_y
_atom_site_fract_z
Cs1 Cs 0.0000 0.0000 0.0000
Rb1 Rb 0.0000 0.0000 0.5000
Rb2 Rb 0.0000 0.5000 0.2500
Re1 Re 0.0000 0.5000 0.7500
O1 O 0.1810 0.7024 0.6990
```

Computed properties:
E_form (uncorrected) (meV per atom): -1619.0
V (Å³ per cell): 373


Total DFT energy (no corrections) values, unit eV per atom, following the record order: -2.278, -10.122, -6.003.